Entry 1:
This record from Alexandria describes a geometry-optimized NdIn4Pd2 structure. The functional is GGA-PBE.

Cell lengths 4.6010, 10.0149, 33.4404 Å; angles 90.00, 90.00, 90.00 degrees
Atoms (fractional coordinates):
1 Pd 0.0000 0.7069 0.8654
2 In 0.5000 0.6146 0.6515
3 In 0.5000 0.4729 0.3621
4 Pd 0.0000 0.5776 0.3202
5 In 0.0000 0.0218 0.3903
6 In 0.0000 0.2037 0.7695
7 Nd 0.5000 0.8276 0.3374
8 In 0.0000 0.0493 0.0705
9 In 0.0000 0.8796 0.1838
10 In 0.0000 0.7032 0.3949
11 In 0.5000 0.5271 0.8621
12 Pd 0.0000 0.2026 0.6046
13 Nd 0.5000 0.0432 0.1392
14 In 0.0000 0.9507 0.5705
15 Pd 0.5000 0.3030 0.2308
16 In 0.5000 0.0342 0.2504
17 In 0.0000 0.2968 0.8949
18 In 0.0000 0.6724 0.7811
19 Pd 0.5000 0.0621 0.0197
20 In 0.0000 0.8076 0.6952
21 In 0.0000 0.3276 0.2811
22 Pd 0.0000 0.7155 0.6157
23 Nd 0.5000 0.9568 0.6392
24 In 0.0000 0.5336 0.0830
25 In 0.5000 0.3854 0.1515
26 In 0.5000 0.1733 0.3342
27 Pd 0.5000 0.2226 0.7206
28 Nd 0.0000 0.2968 0.9999
29 Pd 0.0000 0.6848 0.0129
30 Nd 0.5000 0.7841 0.9387
31 Pd 0.0000 0.3152 0.5129
32 Pd 0.5000 0.9379 0.5197
33 Pd 0.5000 0.3926 0.9345
34 Pd 0.0000 0.0467 0.3059
35 Pd 0.5000 0.6074 0.4345
36 In 0.5000 0.1930 0.5522
37 In 0.0000 0.7963 0.2695
38 Pd 0.0000 0.9533 0.8059
39 In 0.5000 0.3086 0.6407
40 In 0.5000 0.4708 0.5084
41 Nd 0.5000 0.2159 0.4387
42 In 0.5000 0.8267 0.8342
43 Pd 0.0000 0.4224 0.8202
44 Pd 0.0000 0.2931 0.3654
45 In 0.0000 0.5614 0.9367
46 In 0.5000 0.9658 0.7504
47 Nd 0.5000 0.1724 0.8374
48 Nd 0.0000 0.7032 0.4999
49 Pd 0.0000 0.7974 0.1046
50 Nd 0.0000 0.4549 0.6987
51 In 0.5000 0.1198 0.9393
52 In 0.0000 0.4664 0.5830
53 In 0.5000 0.5292 0.0084
54 Pd 0.0000 0.2845 0.1157
55 In 0.0000 0.1924 0.1952
56 In 0.0000 0.0521 0.4860
57 In 0.5000 0.6914 0.1407
58 In 0.5000 0.5530 0.2711
59 In 0.0000 0.9479 0.9860
60 In 0.5000 0.4470 0.7711
61 In 0.5000 0.7118 0.5677
62 In 0.5000 0.2882 0.0677
63 In 0.5000 0.8802 0.4393
64 In 0.5000 0.8070 0.0522
65 Nd 0.0000 0.5451 0.1987
66 In 0.0000 0.1204 0.6838
67 Pd 0.5000 0.7774 0.2206
68 In 0.0000 0.4386 0.4367
69 In 0.0000 0.9782 0.8903
70 Pd 0.5000 0.6970 0.7308

Properties
VASP energy ... -301.3 eV for the cell shown
E above lowest polymorph ... 0 meV per atom
Volume ... 1541 Å³/cell
Space-group type ... Pmc2_1, No. 26
Formation energy ... -0.575 eV/atom



Entry 2:
This record from Alexandria describes a geometry-optimized PbSIO2 structure. The functional is GGA-PBE.

Cell lengths 4.1592, 5.7550, 4.1592 Å; angles 90.00, 90.00, 90.00 degrees
Atoms (fractional coordinates):
1 Pb 0.0000 0.5000 0.0000
2 I 0.5000 0.5000 0.5000
3 S 0.0000 0.0000 0.0000
4 O 0.5000 0.0000 0.0000
5 O 0.0000 0.0000 0.5000

Properties
VASP energy ... -18.0 eV for the cell shown
Raw formation energy ... 0.260 eV per atom
Volume ... 100 Å³/cell
Space-group type ... P4/mmm, No. 123



Entry 3:
This record from Alexandria describes a geometry-optimized SiHgCl structure. The functional is GGA-PBE.

Cell lengths 4.8505, 4.8505, 3.2498 Å; angles 90.00, 90.00, 120.00 degrees
Atoms (fractional coordinates):
1 Hg 0.6667 0.3333 0.3943
2 Si 0.3333 0.6667 0.7340
3 Cl 0.0000 0.0000 0.8717

Properties
VASP energy ... -6.7 eV for the cell shown
Raw formation energy ... 0.294 eV per atom
E above lowest polymorph ... 450 meV per atom
Volume ... 66 Å³/cell
Space-group type ... P3m1, No. 156



Entry 4:
This record from Alexandria describes a geometry-optimized AlGeI2N structure. The functional is GGA-PBE.

Cell lengths 6.1953, 6.1953, 3.5295 Å; angles 90.00, 90.00, 90.00 degrees
Atoms (fractional coordinates):
1 I 0.5000 0.0000 0.0000
2 Ge 0.0000 0.0000 0.0000
3 N 0.0000 0.0000 0.5000
4 I 0.0000 0.5000 0.0000
5 Al 0.5000 0.5000 0.5000

Properties
VASP energy ... -17.1 eV for the cell shown
Raw formation energy ... 0.546 eV per atom
E above lowest polymorph ... 266 meV per atom
Volume ... 135 Å³/cell
Space-group type ... P4/mmm, No. 123



Entry 5:
This record from Alexandria describes a geometry-optimized ZrC3 structure. The functional is GGA-PBE.

Cell lengths 4.2191, 4.2191, 4.8217 Å; angles 90.00, 90.00, 92.58 degrees
Atoms (fractional coordinates):
1 Zr 0.7116 0.7116 0.2500
2 C 0.8981 0.8981 0.7500
3 C 0.1019 0.1019 0.2500
4 Zr 0.2884 0.2884 0.7500
5 C 0.4376 0.1880 0.2500
6 C 0.5624 0.8120 0.7500
7 C 0.1880 0.4376 0.2500
8 C 0.8120 0.5624 0.7500

Properties
VASP energy ... -67.4 eV for the cell shown
E above lowest polymorph ... 364 meV per atom
Volume ... 86 Å³/cell
Space-group type ... Cmcm, No. 63
Formation energy ... 0.626 eV/atom



Entry 6:
This record from Alexandria describes a geometry-optimized In2IrPb structure. The functional is GGA-PBE.

Cell lengths 8.9765, 8.9765, 6.8727 Å; angles 49.23, 49.23, 90.00 degrees
Atoms (fractional coordinates):
1 Pb 0.0000 0.0000 0.0000
2 Pb 0.7500 0.2500 0.5000
3 In 0.2163 0.6250 0.2500
4 Ir 0.2500 0.7500 0.5000
5 Ir 0.5000 0.5000 0.0000
6 In 0.8750 0.7837 0.7500
7 In 0.5337 0.1250 0.2500
8 In 0.3750 0.4663 0.7500

Properties
VASP energy ... -34.6 eV for the cell shown
Volume ... 212 Å³/cell
Space-group type ... I-42d, No. 122
Formation energy ... 0.184 eV/atom